No. 1
## Na2ReN3 (PBE-GGA)

Data for crystalline Na2ReN3 at its relaxed geometry.

Uncorrected formation energy: -269 meV/atom
Magnetization: 0.00 μB per formula unit
Calculated total energy: -6.9464 eV per atom
Symmetry: Cmc2_1

Cell lengths 6.3497, 5.6328, 6.3497 Å; angles 90.00, 118.83, 90.00 degrees
Closest atoms and distances in Å follow each position.
Fractional positions:
Na 0.1736 0.4642 0.5011  4 N 2.41-2.52
Na 0.4989 0.9642 0.8264  4 N 2.41-2.52
Na 0.5011 0.4642 0.1736  4 N 2.41-2.52
Na 0.8264 0.9642 0.4989  4 N 2.41-2.52
Re 0.1507 0.9505 0.1507  4 N 1.77-1.91
Re 0.8493 0.4505 0.8493  4 N 1.77-1.91
N 0.1659 0.0240 0.4294  1 Re 1.77
N 0.5706 0.5240 0.8341  1 Re 1.77
N 0.4294 0.0240 0.1659  1 Re 1.77
N 0.8341 0.5240 0.5706  1 Re 1.77
N 0.1049 0.6151 0.1049  2 Re 1.89-1.91
N 0.8951 0.1151 0.8951  2 Re 1.89-1.91


No. 2
## Na2ReN (PBE-GGA)

Data for crystalline Na2ReN at its relaxed geometry.

Uncorrected formation energy: 499 meV/atom
Magnetization: 1.14 μB per formula unit
Fermi-level density of states: 5.7 states/eV per cell
Calculated total energy: -5.3536 eV per atom
Symmetry: I-42d

Cell lengths 10.0024, 10.0024, 7.3260 Å; angles 46.95, 46.95, 90.00 degrees
Closest atoms and distances in Å follow each position.
Fractional positions:
Re 0.0000 0.0000 0.0000  2 N 1.91
Re 0.7500 0.2500 0.5000  2 N 1.91
N 0.5000 0.5000 0.0000  2 Re 1.91
N 0.2500 0.7500 0.5000  2 Re 1.91
Na 0.4508 0.1250 0.2500  2 N 2.66
Na 0.2992 0.6250 0.2500  2 N 2.66
Na 0.3750 0.5492 0.7500  2 N 2.66
Na 0.8750 0.7008 0.7500  2 N 2.66


No. 3
## Na2ReN2 (PBE-GGA)

Data for crystalline Na2ReN2 at its relaxed geometry.

Uncorrected formation energy: -18 meV/atom
Magnetization: 0.50 μB per formula unit
Fermi-level density of states: 2.8 states/eV per cell
Calculated total energy: -6.3657 eV per atom
Symmetry: P2_1

Cell lengths 2.9258, 5.6159, 9.2669 Å; angles 90.00, 90.00, 105.02 degrees
Closest atoms and distances in Å follow each position.
Fractional positions:
Na 0.8895 0.7803 0.1599  4 N 2.47-2.66
Na 0.3571 0.7120 0.8295  2 N 2.43-2.44
Na 0.1105 0.2197 0.6599  4 N 2.47-2.66
Na 0.6429 0.2880 0.3294  2 N 2.43-2.44
Re 0.6223 0.2442 0.9948  4 N 1.98
Re 0.3777 0.7558 0.4948  4 N 1.98
N 0.2182 0.4370 0.0854  2 Re 1.98
N 0.0203 0.0393 0.9157  2 Re 1.98
N 0.7818 0.5630 0.5854  2 Re 1.98
N 0.9797 0.9607 0.4157  2 Re 1.98


No. 4
## NaReN3 (PBE-GGA)

Data for crystalline NaReN3 at its relaxed geometry.

Uncorrected formation energy: 254 meV/atom
Magnetization: 0.00 μB per formula unit
Fermi-level density of states: 2.2 states/eV per cell
Calculated total energy: -7.4948 eV per atom
Symmetry: Pm-3m

Cell lengths 3.8970, 3.8970, 3.8970 Å; angles 90.00, 90.00, 90.00 degrees
Closest atoms and distances in Å follow each position.
Fractional positions:
Re 0.0000 0.0000 0.0000  6 N 1.95
N 0.0000 0.5000 0.0000  2 Re 1.95
N 0.0000 0.0000 0.5000  2 Re 1.95
N 0.5000 0.0000 0.0000  2 Re 1.95
Na 0.5000 0.5000 0.5000  12 N 2.76